(1)
Below is a geometry-optimized Er2Zn3Cu12Au structure, with properties calculated at the GGA-PBE level.

The structure in POSCAR format:
```
Er2Zn3Cu12Au
1.0
-9.347 -0.601 1.438
-6.331 -2.992 6.385
-6.832 3.220 5.723
Er Zn Cu Au
2 3 12 1
Direct
0.641 0.641 0.641
0.359 0.359 0.359
0.500 0.000 0.000
0.000 0.500 0.000
0.000 0.000 0.500
0.418 0.418 0.799
0.875 0.875 0.444
0.444 0.875 0.875
0.799 0.418 0.418
0.875 0.444 0.875
0.418 0.799 0.418
0.582 0.582 0.201
0.125 0.125 0.556
0.556 0.125 0.125
0.201 0.582 0.582
0.125 0.556 0.125
0.582 0.201 0.582
0.000 0.000 0.000
```

## Properties
- E_tot: -3.54 eV/atom
- Crystal system: trigonal
- DOS at the Fermi energy: 0.3974 states/eV per atom
- Energy of formation: 0.089 eV per atom

(2)
Below is a geometry-optimized Nd6FeNi2I3 structure, with properties calculated at the GGA-PBE level.

The structure in POSCAR format:
```
Nd6FeNi2I3
1.0
7.098 -0.001 0.001
-3.548 6.148 0.001
-1.184 -2.050 8.106
Nd Fe Ni I
6 1 2 3
Direct
0.939 0.616 0.816
0.739 0.739 0.184
0.061 0.384 0.184
0.616 0.939 0.816
0.261 0.261 0.816
0.384 0.061 0.184
0.000 0.000 0.000
0.333 0.667 0.000
0.667 0.333 0.000
0.166 0.834 0.500
0.834 0.166 0.500
0.500 0.500 0.500
```

## Properties
- Uncorrected formation energy: -0.5907 eV per atom
- E_tot: -5.03 eV/atom
- Crystal system: monoclinic
- DOS at the Fermi energy: 0.5103 states/eV per atom

(3)
Below is a geometry-optimized BaYTc structure, with properties calculated at the GGA-PBE level.

The structure in POSCAR format:
```
BaYTc
1.0
-0.750 -0.699 4.864
-1.432 -4.454 1.679
3.159 -2.800 2.624
Ba Tc Y
1 1 1
Direct
0.750 0.750 0.750
0.000 0.000 0.000
0.500 0.500 0.500
```

## Properties
- E_tot: -4.71 eV/atom
- Crystal system: cubic
- Excess energy over the best structure of this formula in the dataset: 1.080 eV per atom
- DOS at the Fermi energy: 1.9270 states/eV per atom
- Energy of formation: 1.539 eV per atom

What is the DOS at the Fermi energy in the third record? 1.9270 states/eV per atom

Which of these has the lowest E_tot? Nd6FeNi2I3

Repeat the third record exactly.
Below is a geometry-optimized BaYTc structure, with properties calculated at the GGA-PBE level.

The structure in POSCAR format:
```
BaYTc
1.0
-0.750 -0.699 4.864
-1.432 -4.454 1.679
3.159 -2.800 2.624
Ba Tc Y
1 1 1
Direct
0.750 0.750 0.750
0.000 0.000 0.000
0.500 0.500 0.500
```

## Properties
- E_tot: -4.71 eV/atom
- Crystal system: cubic
- Excess energy over the best structure of this formula in the dataset: 1.080 eV per atom
- DOS at the Fermi energy: 1.9270 states/eV per atom
- Energy of formation: 1.539 eV per atom

The lowest DOS at the Fermi energy belongs to which entry? Er2Zn3Cu12Au